TbGdSb2Ir2O2 | OQMD | PBE | optimized geometry; total moment = 0.009 μB per cell; V = 18.41 A^3/atom; raw total energy = -58.5 eV per cell
1.0
-2.641 -1.641 -2.749
-0.965 -2.990 2.712
-6.289 4.872 3.135
Tb Sb Gd Ir O
1 2 1 2 2
Cartesian
-2.552 -1.735 0.355 Tb
-6.110 1.021 2.129 Sb
-1.979 1.533 0.987 Sb
-5.532 4.285 2.758 Gd
-4.464 1.615 0.193 Ir
-3.626 0.940 2.923 Ir
-0.489 -1.490 1.359 O
-1.327 -0.815 -1.371 O